Computed, not measured: an optimized crystal structure of La4Tb2HoMg at the PBE level of DFT.

Output
* DFT formation energy: 0.007 eV per atom

a b c (Å): 5.171 5.169 11.243
angles (deg): 62.63 90.00 90.00
Sites, in units of the cell vectors:
1 Tb 0.500 0.000 0.500
2 Ho 0.000 0.500 0.500
3 La 0.500 0.753 0.246
4 Mg 0.500 0.500 0.000
5 La 0.500 0.247 0.754
6 La 0.000 0.746 0.754
7 La 0.000 0.254 0.246
8 Tb 0.000 0.000 0.000

***

Computed, not measured: an optimized crystal structure of Mn3FeH at the PBE level of DFT.

Output
* ΔE to the lowest computed polymorph: 0.000 eV per atom

a b c (Å): 5.040 4.026 5.040
angles (deg): 90.00 120.00 90.00
Each line ends with the local moment (μB).
Sites, in units of the cell vectors:
1 H 0.993 0.651 0.742  0.00
2 H 0.993 0.151 0.742  0.00
3 Mn 0.166 0.401 0.568  -0.06
4 Mn 0.166 0.401 0.089  -0.05
5 Mn 0.819 0.901 0.395  -0.05
6 Fe 0.659 0.401 0.075  0.85
7 Mn 0.819 0.901 0.916  -0.06
8 Mn 0.646 0.401 0.568  -0.06
9 Fe 0.326 0.901 0.409  0.85
10 Mn 0.340 0.901 0.916  -0.06

***

Computed, not measured: an optimized crystal structure of LaMgGaPd3 at the PBE level of DFT.

Output
* DFT formation energy: -0.561 eV per atom

a b c (Å): 5.840 6.805 7.106
angles (deg): 118.61 90.00 90.00
Sites, in units of the cell vectors:
1 La 0.250 0.697 0.393
2 Ga 0.750 0.630 0.260
3 Ga 0.250 0.370 0.740
4 Pd 0.750 0.832 0.663
5 Pd 0.500 0.297 0.000
6 Pd 0.000 0.703 0.000
7 Pd 0.000 0.297 0.000
8 Pd 0.500 0.703 0.000
9 Pd 0.250 0.168 0.337
10 La 0.750 0.303 0.607
11 Mg 0.750 0.047 0.095
12 Mg 0.250 0.953 0.905